No. 1
EuZnCdCu | PBE | relaxed

a b c (Å): 4.910 4.910 4.910
angles (deg): 60.00 60.00 60.00
Fractional coordinates of all 4 atoms:
Zn 0.500 0.500 0.500
Eu 0.250 0.250 0.250
Cd 0.750 0.750 0.750
Cu 0.000 0.000 0.000

Total moment ... 7.23 μB per cell
Energy ... -0.3135 Ry/atom
Volume ... 20.9 Å³/atom
Symmetry ... F-43m (216)

No. 2
PmFeH6 | PBE | relaxed

a b c (Å): 5.230 5.230 5.230
angles (deg): 60.00 60.00 60.00
Fractional coordinates of all 8 atoms:
H 0.210 0.790 0.790
H 0.790 0.210 0.790
H 0.210 0.790 0.210
H 0.210 0.210 0.790
H 0.790 0.210 0.210
H 0.790 0.790 0.210
Pm 0.500 0.500 0.500
Fe 0.000 0.000 0.000

Total moment ... 1.00 μB per cell
Energy ... -0.3019 Ry/atom
Volume ... 12.6 Å³/atom
Symmetry ... Fm-3m (225)

No. 3
Cr2SiRh | PBE | relaxed

a b c (Å): 4.018 2.658 4.723
angles (deg): 86.45 90.00 90.00
Fractional coordinates of all 4 atoms:
Rh 0.000 0.625 0.501
Si 0.500 0.628 0.772
Cr 0.000 0.050 0.996
Cr 0.500 0.197 0.231

E_form (uncorrected) ... -0.20 eV per atom
Total moment ... 0.00 μB per cell
Volume ... 12.6 Å³/atom
Symmetry ... Pm (6)

No. 4
KHg2As | PBE | relaxed

a b c (Å): 5.828 5.828 5.828
angles (deg): 134.60 120.35 78.03
Fractional coordinates of all 4 atoms:
As 0.250 0.750 0.500
Hg 0.054 0.054 0.000
Hg 0.446 0.446 0.000
K 0.750 0.250 0.500

Total moment ... 0.00 μB per cell
Energy ... -0.1219 Ry/atom
Volume ... 29.5 Å³/atom
Symmetry ... Immm (71)

No. 5
Sm12Tm3In | PBE | relaxed

a b c (Å): 5.027 5.027 20.358
angles (deg): 90.00 90.00 90.00
Fractional coordinates of all 16 atoms:
Sm 0.500 0.000 0.626
Sm 0.500 0.500 0.753
Sm 0.000 0.500 0.626
Sm 0.500 0.500 0.247
Sm 0.500 0.000 0.374
Sm 0.000 0.500 0.121
Sm 0.500 0.500 0.500
Sm 0.500 0.000 0.121
Sm 0.000 0.500 0.374
Sm 0.500 0.500 0.000
Sm 0.500 0.000 0.879
Sm 0.000 0.500 0.879
In 0.000 0.000 0.000
Tm 0.000 0.000 0.500
Tm 0.000 0.000 0.248
Tm 0.000 0.000 0.752

Total moment ... 0.00 μB per cell
Energy ... -0.3378 Ry/atom
Volume ... 32.2 Å³/atom
Symmetry ... P4/mmm (123)

No. 6
ZnInAu2 | PBE | relaxed

a b c (Å): 5.016 5.016 4.650
angles (deg): 76.80 76.80 42.03
Fractional coordinates of all 4 atoms:
Au 0.008 0.008 0.953
Au 0.248 0.248 0.267
In 0.502 0.502 0.471
Zn 0.742 0.742 0.809

Total moment ... 0.00 μB per cell
Energy ... -0.2040 Ry/atom
Volume ... 19.0 Å³/atom
Symmetry ... Cm (8)

No. 7
Pu4SN3 | PBE | relaxed

a b c (Å): 5.119 5.119 5.119
angles (deg): 90.00 90.00 90.00
Fractional coordinates of all 8 atoms:
Pu 0.000 0.000 0.500
Pu 0.000 0.500 0.000
Pu 0.500 0.000 0.000
Pu 0.500 0.500 0.500
N 0.500 0.500 0.000
N 0.500 0.000 0.500
N 0.000 0.500 0.500
S 0.000 0.000 0.000

E_form (uncorrected) ... -1.16 eV per atom
Total moment ... 19.75 μB per cell
Volume ... 16.8 Å³/atom
Symmetry ... Pm-3m (221)

No. 8
Ce2Pm2ZnSi4 | PBE | relaxed

a b c (Å): 6.513 6.513 6.513
angles (deg): 98.30 115.33 115.33
Fractional coordinates of all 9 atoms:
Si 0.000 0.240 0.760
Si 0.000 0.760 0.240
Si 0.481 0.240 0.240
Si 0.519 0.760 0.760
Ce 0.000 0.325 0.325
Ce 0.000 0.675 0.675
Pm 0.500 0.750 0.250
Pm 0.500 0.250 0.750
Zn 0.000 0.000 0.000

E_form (uncorrected) ... -0.19 eV per atom
Total moment ... 2.14 μB per cell
Volume ... 23.0 Å³/atom
Symmetry ... I4/mmm (139)

No. 9
Tb12Ho2Tm5 | PBE | relaxed

a b c (Å): 6.199 12.461 13.046
angles (deg): 107.14 105.38 128.85
Fractional coordinates of all 19 atoms:
Tb 0.106 0.764 0.324
Tb 0.345 0.318 0.990
Tb 0.817 0.728 0.778
Tb 0.368 0.109 0.340
Tb 0.183 0.272 0.222
Tb 0.223 0.539 0.157
Tb 0.198 0.320 0.494
Tb 0.894 0.236 0.676
Tb 0.777 0.461 0.843
Tb 0.802 0.680 0.506
Tb 0.655 0.682 0.010
Tb 0.632 0.891 0.660
Tm 0.007 0.523 0.633
Tm 0.482 0.104 0.823
Tm 0.518 0.896 0.177
Tm 0.993 0.477 0.367
Tm 0.000 0.000 0.500
Ho 0.602 0.907 0.924
Ho 0.398 0.093 0.076

Total moment ... 0.00 μB per cell
Energy ... -0.3316 Ry/atom
Volume ... 31.4 Å³/atom
Symmetry ... P-1 (2)

No. 10
DyYTlTe | PBE | relaxed

a b c (Å): 4.189 4.189 8.203
angles (deg): 75.21 75.21 60.00
Fractional coordinates of all 4 atoms:
Tl 0.250 0.250 0.251
Te 0.750 0.750 0.749
Y 0.001 0.001 0.997
Dy 0.499 0.499 0.503

E_form (uncorrected) ... -0.82 eV per atom
Total moment ... 0.00 μB per cell
Volume ... 29.8 Å³/atom
Symmetry ... R3m (160)

No. 11
K2TaRe | PBE | relaxed

a b c (Å): 6.866 6.866 2.998
angles (deg): 78.89 78.89 133.14
Fractional coordinates of all 4 atoms:
Ta 0.000 0.500 0.500
Re 0.500 0.000 0.500
K 0.000 0.000 0.000
K 0.500 0.500 0.000

Total moment ... 0.00 μB per cell
Energy ... -0.3895 Ry/atom
Volume ... 22.5 Å³/atom
Symmetry ... C2/m (12)

No. 12
Th4GeH5 | PBE | relaxed

a b c (Å): 4.954 7.549 9.454
angles (deg): 90.00 90.00 90.00
Fractional coordinates of all 20 atoms:
H 0.271 0.256 0.238
H 0.271 0.744 0.238
H 0.729 0.756 0.262
H 0.271 0.256 0.762
H 0.729 0.244 0.738
H 0.271 0.744 0.762
H 0.288 0.000 0.500
H 0.712 0.500 0.000
H 0.729 0.756 0.738
H 0.729 0.244 0.262
Th 0.015 0.000 0.704
Th 0.985 0.500 0.796
Th 0.985 0.500 0.204
Th 0.015 0.000 0.296
Th 0.465 0.767 0.000
Th 0.535 0.733 0.500
Th 0.465 0.233 0.000
Th 0.535 0.267 0.500
Ge 0.044 0.500 0.500
Ge 0.956 0.000 0.000

Total moment ... 0.00 μB per cell
Energy ... -0.4011 Ry/atom
Volume ... 17.7 Å³/atom
Symmetry ... Pmmn (59)

No. 13
Sb3PdF | PBE | relaxed

a b c (Å): 5.202 5.202 5.202
angles (deg): 90.00 90.00 90.00
Fractional coordinates of all 5 atoms:
Sb 0.500 0.000 0.000
Sb 0.000 0.000 0.500
Sb 0.000 0.500 0.000
Pd 0.000 0.000 0.000
F 0.500 0.500 0.500

E_form (uncorrected) ... 0.13 eV per atom
Total moment ... 0.00 μB per cell
Volume ... 28.2 Å³/atom
Symmetry ... Pm-3m (221)